Density functional theory data (PBE+U) for a relaxed structure of BaMn2ZnF8.

Cell lengths 5.056, 7.069, 5.200 Å; angles 90.00, 92.49, 90.00 degrees
Positions (direct):
Ba (0.000, 0.000, 0.000)
Mn (0.500, 0.270, 0.500)
Mn (0.500, 0.730, 0.500)
Zn (0.000, 0.500, 0.000)
F (0.184, 0.297, 0.225)
F (0.184, 0.703, 0.225)
F (0.314, 0.500, 0.716)
F (0.385, 0.000, 0.701)
F (0.615, 0.000, 0.299)
F (0.686, 0.500, 0.284)
F (0.816, 0.297, 0.775)
F (0.816, 0.703, 0.775)

Computed properties:
The raw total energy is -5.573 eV/atom. The calculation puts the calculated volume at 15.47 A^3/atom.